A | {"formula": "BaLi2Y", "functional": "PBE", "state": "optimized geometry", "lattice_angstrom": [[-0.0184, 3.2836, 2.2416], [-3.4556, -1.1876, 1.7112], [0.7649, -5.1189, 7.5046]], "species": ["Ba", "Li", "Li", "Y"], "fractional_positions": [[0.5000, 0.7500, 0.7500], [0.0000, 0.9560, 0.0436], [0.0000, 0.5440, 0.4564], [0.5000, 0.2500, 0.2500]], "magnetic_moment_mub_per_fu": 0.00}

=====

B | {"formula": "BaLi2Y", "functional": "PBE", "state": "optimized geometry", "lattice_angstrom": [[6.4472, -0.0022, -0.0072], [5.3936, 3.5321, -0.0072], [1.8155, 0.5412, 5.6024]], "species": ["Ba", "Li", "Li", "Y"], "fractional_positions": [[0.2710, 0.2710, 0.1981], [0.0320, 0.0320, 0.0073], [0.7215, 0.7215, 0.7283], [0.4755, 0.4755, 0.5663]], "magnetic_moment_mub_per_fu": 0.00}

=====

C | {"formula": "BaLi2Y", "functional": "PBE", "state": "optimized geometry", "lattice_angstrom": [[8.7423, 0.0000, 0.0000], [0.0000, 8.7423, 0.0000], [4.3712, 4.3712, 3.5562]], "species": ["Y", "Y", "Ba", "Ba", "Li", "Li", "Li", "Li"], "fractional_positions": [[0.5000, 0.5000, 0.0000], [0.2500, 0.7500, 0.5000], [0.0000, 0.0000, 0.0000], [0.7500, 0.2500, 0.5000], [0.6075, 0.1250, 0.2500], [0.1425, 0.6250, 0.2500], [0.3750, 0.3925, 0.7500], [0.8750, 0.8575, 0.7500]], "magnetic_moment_mub_per_fu": 0.00}

=====

Most stable structure - A; separation to the second - 43 meV per atom.

=====

A | {"formula": "BaLi2Y", "functional": "PBE", "state": "optimized geometry", "lattice_angstrom": [[-5.1342, -2.1254, -0.6566], [-0.6982, -5.5310, -0.4785], [-2.3847, -2.8888, 4.1565]], "species": ["Ba", "Li", "Li", "Y"], "fractional_positions": [[0.5000, 0.5000, 0.5000], [0.0000, 0.0000, 0.0000], [0.2500, 0.2500, 0.2500], [0.7500, 0.7500, 0.7500]], "magnetic_moment_mub_per_fu": 0.00}

=====

B | {"formula": "BaLi2Y", "functional": "PBE", "state": "optimized geometry", "lattice_angstrom": [[-7.1758, -8.8876, -1.2614], [-5.3767, -9.1293, -4.4520], [-3.9799, -10.6853, -1.4348]], "species": ["Ba", "Li", "Li", "Y"], "fractional_positions": [[0.7500, 0.7500, 0.7500], [0.9943, 0.9943, 0.9943], [0.5057, 0.5057, 0.5057], [0.2500, 0.2500, 0.2500]], "magnetic_moment_mub_per_fu": 0.03}

=====

C | {"formula": "BaLi2Y", "functional": "PBE", "state": "optimized geometry", "lattice_angstrom": [[5.5260, -0.9496, -1.1736], [2.1814, -5.2680, 0.5530], [1.4652, -2.9968, -4.6571]], "species": ["Y", "Ba", "Li", "Li"], "fractional_positions": [[0.0000, 0.0000, 0.0000], [0.5000, 0.5000, 0.5000], [0.2500, 0.2500, 0.2500], [0.7500, 0.7500, 0.7500]], "magnetic_moment_mub_per_fu": 0.00}

=====

D | {"formula": "BaLi2Y", "functional": "PBE", "state": "optimized geometry", "lattice_angstrom": [[5.5403, 0.0000, 0.0000], [0.0000, 3.8050, 0.0673], [0.0000, 1.7475, 6.3167]], "species": ["Ba", "Li", "Li", "Y"], "fractional_positions": [[0.5000, 0.7831, 0.8050], [0.0000, 0.1865, 0.9954], [0.5000, 0.0525, 0.2765], [0.0000, 0.4779, 0.4231]], "magnetic_moment_mub_per_fu": 0.00}

=====

Most stable structure - C; separation to the second - 7 meV per atom.

=====

A | {"formula": "Ba2LiY", "functional": "PBE", "state": "optimized geometry", "lattice_angstrom": [[-7.3809, 8.9095, 5.2202], [-5.9212, 7.2609, 8.5630], [-3.8403, 10.1008, 6.6583]], "species": ["Ba", "Ba", "Li", "Y"], "fractional_positions": [[0.9984, 0.9984, 0.9984], [0.5016, 0.5016, 0.5016], [0.2500, 0.2500, 0.2500], [0.7500, 0.7500, 0.7500]], "magnetic_moment_mub_per_fu": 1.03}

=====

B | {"formula": "Ba2LiY", "functional": "PBE", "state": "optimized geometry", "lattice_angstrom": [[4.0857, 0.0000, 0.0000], [0.0000, 4.0857, 0.0000], [0.0000, 0.0000, 10.1636]], "species": ["Ba", "Ba", "Li", "Y"], "fractional_positions": [[0.0000, 0.0000, 0.9633], [0.5000, 0.5000, 0.3109], [0.0000, 0.0000, 0.5361], [0.5000, 0.5000, 0.6897]], "magnetic_moment_mub_per_fu": 0.63}

=====

Most stable structure - B; separation to the second - 70 meV per atom.

=====

A | {"formula": "Ba2LiY", "functional": "PBE", "state": "optimized geometry", "lattice_angstrom": [[-3.0109, 1.2012, -2.9406], [-3.0926, -0.1884, 3.0895], [1.4872, 8.6664, 2.0173]], "species": ["Ba", "Ba", "Li", "Y"], "fractional_positions": [[0.0000, 0.0000, 0.0132], [0.0000, 0.0000, 0.4868], [0.5000, 0.5000, 0.2500], [0.5000, 0.5000, 0.7500]], "magnetic_moment_mub_per_fu": 0.00}

=====

B | {"formula": "Ba2LiY", "functional": "PBE", "state": "optimized geometry", "lattice_angstrom": [[6.4133, 0.0000, 0.0000], [0.0000, 4.1317, 0.0042], [0.0000, -0.0091, 6.5343]], "species": ["Ba", "Ba", "Li", "Y"], "fractional_positions": [[0.0000, 0.1255, 0.9072], [0.5000, 0.1244, 0.3340], [0.0000, 0.6252, 0.4318], [0.5000, 0.6249, 0.8269]], "magnetic_moment_mub_per_fu": 0.00}

=====

Most stable structure - A; separation to the second - 22 meV per atom.

=====

A | {"formula": "Ba2LiY", "functional": "PBE", "state": "optimized geometry", "lattice_angstrom": [[-5.0706, -6.4855, 9.5401], [-1.3016, -7.8103, 9.8026], [-2.3456, -4.3785, 11.5807]], "species": ["Ba", "Ba", "Li", "Y"], "fractional_positions": [[0.0083, 0.0083, 0.0083], [0.2387, 0.2387, 0.2387], [0.4930, 0.4930, 0.4930], [0.7601, 0.7601, 0.7601]], "magnetic_moment_mub_per_fu": 1.28}

=====

B | {"formula": "Ba2LiY", "functional": "PBE", "state": "optimized geometry", "lattice_angstrom": [[-3.1528, -6.6303, 1.5937], [4.1491, -6.2481, -0.4326], [-1.1348, 6.7262, 3.1484]], "species": ["Ba", "Ba", "Li", "Y"], "fractional_positions": [[0.0090, 0.0090, 0.0000], [0.7223, 0.2223, 0.5000], [0.4839, 0.4839, 0.0000], [0.2848, 0.7848, 0.5000]], "magnetic_moment_mub_per_fu": 0.27}

=====

C | {"formula": "Ba2LiY", "functional": "PBE", "state": "optimized geometry", "lattice_angstrom": [[0.6011, -5.8630, -2.2550], [-4.0201, -2.1254, -4.3752], [1.9768, -0.9154, -5.9224]], "species": ["Y", "Ba", "Ba", "Li"], "fractional_positions": [[0.5000, 0.5000, 0.5000], [0.2500, 0.2500, 0.2500], [0.7500, 0.7500, 0.7500], [0.0000, 0.0000, 0.0000]], "magnetic_moment_mub_per_fu": 0.00}

=====

Most stable structure - B; separation to the second - 55 meV per atom.

=====

A | {"formula": "Ba2LiY", "functional": "PBE", "state": "optimized geometry", "lattice_angstrom": [[-2.0209, 2.0440, 3.4170], [3.1687, -3.6122, 4.0349], [4.4251, 4.0793, 0.1769]], "species": ["Ba", "Ba", "Li", "Y"], "fractional_positions": [[0.0000, 0.0000, 0.0000], [0.5000, 0.5000, 0.0000], [0.5000, 0.0000, 0.5000], [0.0000, 0.5000, 0.5000]], "magnetic_moment_mub_per_fu": 0.00}

=====

B | {"formula": "Ba2LiY", "functional": "PBE", "state": "optimized geometry", "lattice_angstrom": [[-1.5368, 6.9100, 0.6352], [-3.9494, 1.6864, 5.6632], [6.1398, -2.9098, -2.0855]], "species": ["Ba", "Ba", "Li", "Y"], "fractional_positions": [[0.9739, 0.9739, 0.0000], [0.5261, 0.5261, 0.0000], [0.7500, 0.2500, 0.5000], [0.2500, 0.7500, 0.5000]], "magnetic_moment_mub_per_fu": 0.00}

=====

C | {"formula": "Ba2LiY", "functional": "PBE", "state": "optimized geometry", "lattice_angstrom": [[9.6010, 0.0000, 0.0000], [0.0000, 9.6010, 0.0000], [4.8005, 4.8005, 3.6402]], "species": ["Y", "Y", "Ba", "Ba", "Ba", "Ba", "Li", "Li"], "fractional_positions": [[0.0000, 0.0000, 0.0000], [0.7500, 0.2500, 0.5000], [0.5902, 0.1250, 0.2500], [0.1598, 0.6250, 0.2500], [0.3750, 0.4098, 0.7500], [0.8750, 0.8402, 0.7500], [0.5000, 0.5000, 0.0000], [0.2500, 0.7500, 0.5000]], "magnetic_moment_mub_per_fu": 0.00}

=====

D | {"formula": "Ba2LiY", "functional": "PBE", "state": "optimized geometry", "lattice_angstrom": [[6.1874, 0.0000, 0.0000], [3.0937, 5.3584, 0.0000], [3.0937, 1.7861, 5.0520]], "species": ["Ba", "Ba", "Li", "Y"], "fractional_positions": [[0.0000, 0.0000, 0.0000], [0.2500, 0.2500, 0.2500], [0.5000, 0.5000, 0.5000], [0.7500, 0.7500, 0.7500]], "magnetic_moment_mub_per_fu": 0.00}

=====

Most stable structure - B; separation to the second - 34 meV per atom.

=====

A | {"formula": "Ba2LiY2", "functional": "PBE", "state": "optimized geometry", "lattice_angstrom": [[8.0731, 0.0000, 0.0000], [0.0000, 8.0731, 0.0000], [0.0000, 0.0000, 6.3114]], "species": ["Y", "Y", "Y", "Y", "Ba", "Ba", "Ba", "Ba", "Li", "Li"], "fractional_positions": [[0.3540, 0.8540, 0.0000], [0.8540, 0.6460, 0.0000], [0.6460, 0.1460, 0.0000], [0.1460, 0.3540, 0.0000], [0.1727, 0.6727, 0.5000], [0.6727, 0.8273, 0.5000], [0.8273, 0.3273, 0.5000], [0.3273, 0.1727, 0.5000], [0.0000, 0.0000, 0.0000], [0.5000, 0.5000, 0.0000]], "magnetic_moment_mub_per_fu": 1.57}

=====

B | {"formula": "Ba2LiY2", "functional": "PBE", "state": "optimized geometry", "lattice_angstrom": [[10.8231, 0.0000, 0.0000], [0.0000, 10.8231, 0.0000], [0.0000, 0.0000, 3.8440]], "species": ["Y", "Y", "Y", "Y", "Ba", "Ba", "Ba", "Ba", "Li", "Li"], "fractional_positions": [[0.1071, 0.6071, 0.5000], [0.6071, 0.8929, 0.5000], [0.8929, 0.3929, 0.5000], [0.3929, 0.1071, 0.5000], [0.3147, 0.8147, 0.0000], [0.8147, 0.6853, 0.0000], [0.6853, 0.1853, 0.0000], [0.1853, 0.3147, 0.0000], [0.0000, 0.0000, 0.0000], [0.5000, 0.5000, 0.0000]], "magnetic_moment_mub_per_fu": 2.01}

=====

Most stable structure - A; separation to the second - 138 meV per atom.

=====

A | {"formula": "Ba2Li2Y", "functional": "PBE", "state": "optimized geometry", "lattice_angstrom": [[-4.7483, -2.1822, 7.5001], [1.3272, -8.8749, -1.7420], [3.9847, 0.0953, 2.5504]], "species": ["Y", "Y", "Ba", "Ba", "Ba", "Ba", "Li", "Li", "Li", "Li"], "fractional_positions": [[0.0000, 0.0000, 0.0000], [0.5000, 0.5000, 0.0000], [0.1871, 0.6871, 0.5000], [0.6871, 0.8129, 0.5000], [0.8129, 0.3129, 0.5000], [0.3129, 0.1871, 0.5000], [0.3844, 0.8844, 0.0000], [0.8844, 0.6156, 0.0000], [0.6156, 0.1156, 0.0000], [0.1156, 0.3844, 0.0000]], "magnetic_moment_mub_per_fu": 0.00}

=====

B | {"formula": "Ba2Li2Y", "functional": "PBE", "state": "optimized geometry", "lattice_angstrom": [[4.0145, 0.0000, 0.0000], [0.0000, 4.0145, 0.0000], [2.0073, 2.0073, 12.0666]], "species": ["Y", "Ba", "Ba", "Li", "Li"], "fractional_positions": [[0.0000, 0.0000, 0.0000], [0.3808, 0.3808, 0.2384], [0.6192, 0.6192, 0.7616], [0.7500, 0.2500, 0.5000], [0.2500, 0.7500, 0.5000]], "magnetic_moment_mub_per_fu": 1.30}

=====

Most stable structure - A; separation to the second - 8 meV per atom.